Rb2SiPdI6 GGA-PBE relaxed; ρ = 4.8 g cm⁻³; formation energy from raw total energies = -0.65 eV per atom; SG = No. 139
1.0
-5.8211 2.9055 -4.7876
-2.0180 -7.5298 -2.1162
-7.6072 -2.5443 0.8910
Pd Rb I Si
1 2 6 1
direct
0.0000 0.0000 0.0000
0.2500 0.7500 0.5000
0.7500 0.2500 0.5000
0.2493 0.2493 0.5015
0.7493 0.7493 0.0000
0.2507 0.7493 0.0000
0.7507 0.7507 0.4985
0.7493 0.2507 0.0000
0.2507 0.2507 0.0000
0.5000 0.5000 0.0000

LiCa3Rh GGA-PBE relaxed; ρ = 2.2 g cm⁻³; calculated formation energy = -0.17 eV per atom; relative energy among the computed polymorphs = 0.058 eV per atom; SG = No. 221
1.0
5.5423 0.0000 0.0000
0.0000 5.5423 0.0000
0.0000 0.0000 5.5423
Li Ca Rh
1 3 1
direct
0.5000 0.5000 0.5000
0.5000 0.0000 0.0000
0.0000 0.0000 0.5000
0.0000 0.5000 0.0000
0.0000 0.0000 0.0000

SrNiHg GGA-PBE relaxed; ρ = 7.6 g cm⁻³; calculated formation energy = -0.22 eV per atom; SG = No. 51
1.0
-0.6924 -3.7037 3.0619
4.5028 -0.2451 0.7218
-0.5899 4.3826 5.1678
Hg Ni Sr
2 2 2
direct
0.7500 0.0000 0.6502
0.2500 0.0000 0.3498
0.0000 0.0000 0.0000
0.5000 0.0000 0.0000
0.2500 0.5000 0.7652
0.7500 0.5000 0.2348

La5ErMg2 GGA-PBE relaxed; ρ = 5.7 g cm⁻³; calculated formation energy = 0.00 eV per atom; SG = No. 107
1.0
6.6753 -0.1489 -2.1894
-3.5360 5.6632 -2.1909
0.0801 0.1437 7.0249
Mg La Er
2 5 1
direct
0.7780 0.2782 0.5000
0.2779 0.7782 0.5000
0.2771 0.2767 0.0000
0.2780 0.7777 0.0000
0.2778 0.2780 0.5001
0.7777 0.7779 0.4999
0.7779 0.2779 0.0000
0.7786 0.7783 0.0000

Mg2BeAuC GGA-PBE relaxed; ρ = 5.5 g cm⁻³; calculated formation energy = 0.56 eV per atom; SG = No. 123
1.0
-3.9897 -1.4937 -0.9412
0.7586 -3.4572 2.2712
-1.5804 1.9849 3.5493
Mg Be Au C
2 1 1 1
direct
0.0000 0.0000 0.5000
0.5000 0.0000 0.0000
0.5000 0.5000 0.5000
0.0000 0.5000 0.0000
0.0000 0.0000 0.0000

Number 1: magnetic moment 0.0 μB/f.u.. Number 2: magnetic moment 0.0 μB/f.u.. Number 3: magnetic moment 0.0 μB/f.u.. Number 4: magnetic moment 0.0 μB/f.u.. Number 5: magnetic moment 0.0 μB/f.u..